## IrBr (PBE-GGA)

Data for a relaxed IrBr crystal.

Unit cell a=2.967 b=8.178 c=10.045 alpha=90.00 beta=90.00 gamma=90.00
Space group Imma (No. 74)
Symmetry-distinct sites (fractional):
Ir (0.000, 0.250, 0.152) x4
Br (0.000, 0.250, 0.559) x4

Offset from the most stable computed form, meV/atom: 645
DFT total energy, eV per atom: -4.36
Volume, Å³/cell: 244
Formation energy (no corrections), eV per atom: 0.911

## TlTePb2 (PBE-GGA)

Data for a relaxed TlTePb2 crystal.

Unit cell a=3.903 b=5.540 c=11.417 alpha=90.00 beta=90.00 gamma=90.00
Space group Cmmm (No. 65)
Symmetry-distinct sites (fractional):
Tl (0.000, 0.000, 0.000) x2
Te (0.000, 0.000, 0.500) x2
Pb (0.000, 0.500, 0.251) x4

Offset from the most stable computed form, meV/atom: 151
DFT total energy, eV per atom: -3.18
Volume, Å³/cell: 247
Formation energy (no corrections), eV per atom: 0.053

## BaTcF2 (PBE-GGA)

Data for a relaxed BaTcF2 crystal.

Unit cell a=4.4169 b=4.4169 c=16.9071 alpha=90.00 beta=90.00 gamma=120.00
Space group R-3m (No. 166, hexagonal axes)
Symmetry-distinct sites (fractional):
Ba (0.0000, 0.0000, 0.0000) x3
Tc (0.0000, 0.0000, 0.5000) x3
F (0.0000, 0.0000, 0.3782) x6

Offset from the most stable computed form, meV/atom: 0
DFT total energy, eV per atom: -5.54
Volume, Å³/cell: 286
Formation energy (no corrections), eV per atom: -1.531

## TeAsH2Se (PBE-GGA)

Data for a relaxed TeAsH2Se crystal.

Unit cell a=3.919 b=3.919 c=5.639 alpha=90.00 beta=90.00 gamma=90.00
Space group P4/mmm (No. 123)
Symmetry-distinct sites (fractional):
Te (0.000, 0.000, 0.000) x1
As (0.500, 0.500, 0.000) x1
H (0.000, 0.500, 0.500) x2
Se (0.500, 0.500, 0.500) x1

DFT total energy, eV per atom: -3.26
Volume, Å³/cell: 87

## Na3Zn2H4O2 (PBE-GGA)

Data for a relaxed Na3Zn2H4O2 crystal.

Unit cell a=3.386 b=3.386 c=22.116 alpha=90.00 beta=90.00 gamma=90.00
Space group I4/mmm (No. 139)
Symmetry-distinct sites (fractional):
Na (0.000, 0.000, 0.000) x2
Na (0.000, 0.000, 0.205) x4
Zn (0.000, 0.000, 0.397) x4
H (0.000, 0.500, 0.072) x8
O (0.000, 0.000, 0.313) x4

DFT total energy, eV per atom: -3.21
Volume, Å³/cell: 254

## Er2TlPb9 (PBE-GGA)

Data for a relaxed Er2TlPb9 crystal.

Unit cell a=4.868 b=4.868 c=15.069 alpha=90.00 beta=90.00 gamma=90.00
Space group P4/mmm (No. 123)
Symmetry-distinct sites (fractional):
Er (0.000, 0.000, 0.151) x2
Tl (0.000, 0.000, 0.500) x1
Pb (0.000, 0.500, 0.000) x2
Pb (0.000, 0.500, 0.327) x4
Pb (0.500, 0.500, 0.166) x2
Pb (0.500, 0.500, 0.500) x1

DFT total energy, eV per atom: -3.90
Volume, Å³/cell: 357

## VFeHRh2 (PBE-GGA)

Data for a relaxed VFeHRh2 crystal.

Unit cell a=3.803 b=3.803 c=3.732 alpha=90.00 beta=90.00 gamma=90.00
Space group P4/mmm (No. 123)
Symmetry-distinct sites (fractional):
V (0.000, 0.000, 0.000) x1
Fe (0.500, 0.500, 0.000) x1
H (0.500, 0.500, 0.500) x1
Rh (0.000, 0.500, 0.500) x2

Offset from the most stable computed form, meV/atom: 22
DFT total energy, eV per atom: -7.30
Volume, Å³/cell: 54

## Tb6Pm2Nd3Tm (PBE-GGA)

Data for a relaxed Tb6Pm2Nd3Tm crystal.

Unit cell a=6.239 b=10.803 c=11.910 alpha=90.00 beta=100.03 gamma=90.00
Space group C2/m (No. 12)
Symmetry-distinct sites (fractional):
Tb (0.249, 0.166, 0.248) x8
Tb (0.250, 0.000, 0.752) x4
Pm (0.000, 0.334, 0.000) x4
Nd (0.000, 0.167, 0.500) x4
Nd (0.000, 0.500, 0.500) x2
Tm (0.000, 0.000, 0.000) x2

DFT total energy, eV per atom: -4.66
Volume, Å³/cell: 791